Record 1
Density functional theory data (PBE-GGA) for an optimized crystal structure of Lu4Ta2Pb3C3.

Calculated values
Energy ... -172.96 eV for the cell shown

abc: 5.955 5.955 15.369
angles: 101.49 101.49 60.22
Fractional positions:
C 0.654 0.194 0.000
C 0.000 0.500 0.000
C 0.346 0.806 0.000
C 0.194 0.654 0.500
C 0.500 0.000 0.500
C 0.806 0.346 0.500
Lu 0.041 0.186 0.087
Lu 0.696 0.874 0.087
Lu 0.126 0.304 0.413
Lu 0.814 0.959 0.413
Lu 0.186 0.041 0.587
Lu 0.874 0.696 0.587
Lu 0.304 0.126 0.913
Lu 0.959 0.814 0.913
Pb 0.728 0.582 0.247
Pb 0.108 0.892 0.250
Pb 0.418 0.272 0.253
Pb 0.582 0.728 0.747
Pb 0.892 0.108 0.750
Pb 0.272 0.418 0.753
Ta 0.349 0.524 0.072
Ta 0.476 0.651 0.428
Ta 0.524 0.349 0.572
Ta 0.651 0.476 0.928


Record 2
Density functional theory data (PBE-GGA) for an optimized crystal structure of RbAlCu.

Calculated values
Excess energy over the best structure of this formula in the dataset ... 445 meV per atom
Energy ... -4.91 eV for the cell shown

abc: 5.358 5.358 5.358
angles: 60.00 60.00 60.00
Fractional positions:
Al 0.250 0.250 0.250
Cu 0.750 0.750 0.750
Rb 0.000 0.000 0.000


Record 3
Density functional theory data (PBE-GGA) for an optimized crystal structure of Dy3Mg3IrPd2.

Calculated values
Energy ... -43.84 eV for the cell shown

abc: 7.329 7.329 4.137
angles: 90.00 90.00 120.00
Fractional positions:
Dy 0.403 0.000 0.500
Dy 0.000 0.403 0.500
Dy 0.597 0.597 0.500
Ir 0.000 0.000 0.500
Mg 0.758 0.000 0.000
Mg 0.242 0.242 0.000
Mg 0.000 0.758 0.000
Pd 0.667 0.333 0.000
Pd 0.333 0.667 0.000


Record 4
Density functional theory data (PBE-GGA) for an optimized crystal structure of NdHoPBr2.

Calculated values
Energy ... -26.91 eV for the cell shown

abc: 4.067 4.067 10.521
angles: 90.00 90.00 120.00
Fractional positions:
Br 0.333 0.667 0.318
Br 0.000 0.000 0.671
Ho 0.000 0.000 0.148
Nd 0.333 0.667 0.853
P 0.667 0.333 0.010


Record 5
Density functional theory data (PBE-GGA) for an optimized crystal structure of TbCuPbS3.

Calculated values
Energy ... -123.72 eV for the cell shown

abc: 10.940 4.075 11.335
angles: 90.00 90.00 90.00
Fractional positions:
Cu 0.754 0.000 0.205
Cu 0.254 0.000 0.295
Cu 0.746 0.500 0.705
Cu 0.246 0.500 0.795
Pb 0.181 0.000 0.005
Pb 0.681 0.000 0.495
Pb 0.319 0.500 0.505
Pb 0.819 0.500 0.995
S 0.602 0.000 0.061
S 0.958 0.000 0.147
S 0.226 0.500 0.194
S 0.726 0.500 0.306
S 0.458 0.000 0.353
S 0.102 0.000 0.439
S 0.898 0.500 0.561
S 0.542 0.500 0.647
S 0.274 0.000 0.694
S 0.774 0.000 0.806
S 0.042 0.500 0.853
S 0.398 0.500 0.939
Tb 0.485 0.500 0.181
Tb 0.985 0.500 0.319
Tb 0.015 0.000 0.681
Tb 0.515 0.000 0.819


Record 6
Density functional theory data (PBE-GGA) for an optimized crystal structure of ScFeNiB.

Calculated values
Excess energy over the best structure of this formula in the dataset ... 0 meV per atom
Energy ... -26.56 eV for the cell shown

abc: 3.985 3.985 3.985
angles: 60.00 60.00 60.00
Fractional positions:
B 0.250 0.250 0.250
Fe 0.500 0.500 0.500
Ni 0.000 0.000 0.000
Sc 0.750 0.750 0.750